[1]
This record from Alexandria describes crystalline Ca3Mn at its relaxed geometry. The functional is PBE-GGA.

```
Ca3Mn
1.0
3.773 0.000 0.000
0.000 3.773 0.000
0.000 0.000 9.238
Ca Mn
3 1
Direct
0.000 0.000 0.000
0.500 0.500 0.307
0.500 0.500 0.693
0.000 0.000 0.500
```

space group = P4/mmm, No. 123
crystal system = tetragonal
E = -14.140 eV/cell
formation enthalpy at 0 K = 0.259 eV/atom

---

[2]
This record from Alexandria describes crystalline Ca2Mn at its relaxed geometry. The functional is PBE-GGA.

```
Ca2Mn
1.0
0.000 4.667 4.667
4.667 0.000 4.667
4.667 4.667 0.000
Ca Mn
4 2
Direct
0.000 0.000 0.000
0.000 0.000 0.500
0.000 0.500 0.000
0.500 0.000 0.000
0.375 0.375 0.375
0.625 0.625 0.625
```

space group = Fd-3m, No. 227
crystal system = cubic
E = -20.972 eV/cell
formation enthalpy at 0 K = 0.896 eV/atom